No. 1
A plane-wave DFT calculation with PBE was carried out for a relaxed structure of In3Tc.

Cell and atoms, written as extended XYZ:
```
4
Lattice="-1.434 -2.758 -0.167 1.170 -0.777 2.778 -7.323 3.559 4.082" Properties=species:S:1:pos:R:3 pbc="T T T"
In -3.335 1.621 1.859
In -0.326 0.159 0.182
In -5.624 0.902 4.367
Tc -1.962 -0.878 2.326
```

Values from the calculation:
total magnetization	1.340	μB per formula unit
final energy	-4.3642	eV/atom
DFT formation energy	108	kJ/mol of formula units


No. 2
A plane-wave DFT calculation with PBE was carried out for a relaxed structure of InTc3.

Cell and atoms, written as extended XYZ:
```
4
Lattice="-3.627 -2.971 1.557 -1.375 -3.317 3.393 -2.282 2.652 3.300" Properties=species:S:1:pos:R:3 pbc="T T T"
In 0.000 0.000 0.000
Tc -1.829 -0.733 2.106
Tc -5.454 -2.903 6.144
Tc -3.642 -1.818 4.125
```

Values from the calculation:
total magnetization	0.003	μB per formula unit
final energy	-8.2031	eV/atom
DFT formation energy	99	kJ/mol of formula units


No. 3
A plane-wave DFT calculation with PBE was carried out for a relaxed structure of In2Tc.

Cell and atoms, written as extended XYZ:
```
12
Lattice="-3.088 -4.304 1.446 3.775 1.960 3.472 -6.893 6.275 3.953" Properties=species:S:1:pos:R:3 pbc="T T T"
In -3.650 -1.674 2.777
In -4.077 3.488 6.805
In -2.130 0.443 2.066
In -4.415 4.641 4.385
In -1.792 -0.710 4.486
In 0.000 0.000 0.000
In -3.447 3.138 1.977
In -2.557 5.606 6.094
Tc -2.064 3.105 4.833
Tc -4.142 0.826 4.038
Tc -0.906 -2.120 2.181
Tc -5.301 6.052 6.690
```

Values from the calculation:
total magnetization	0.001	μB per formula unit
energy above the lowest structure with this stoichiometry	0.689	eV/atom
final energy	-4.3771	eV/atom
DFT formation energy	262	kJ/mol of formula units


No. 4
A plane-wave DFT calculation with PBE was carried out for a relaxed structure of InTc3.

Cell and atoms, written as extended XYZ:
```
4
Lattice="-1.765 -1.441 1.777 2.862 -0.165 0.359 -0.275 7.009 5.412" Properties=species:S:1:pos:R:3 pbc="T T T"
Tc -0.137 3.504 2.706
Tc -0.296 0.859 2.752
Tc -0.423 4.118 5.269
In 0.000 0.000 0.000
```

Values from the calculation:
total magnetization	0.000	μB per formula unit
final energy	-8.2785	eV/atom
DFT formation energy	70	kJ/mol of formula units


No. 5
A plane-wave DFT calculation with PBE was carried out for a relaxed structure of In3Tc.

Cell and atoms, written as extended XYZ:
```
4
Lattice="3.193 0.000 0.000 -1.596 2.765 0.000 0.000 0.000 9.987" Properties=species:S:1:pos:R:3 pbc="T T T"
Tc 1.596 0.922 7.491
In 1.596 0.922 2.497
In 0.000 0.000 5.372
In 0.000 0.000 9.609
```

Values from the calculation:
total magnetization	0.000	μB per formula unit
final energy	-4.3166	eV/atom
DFT formation energy	127	kJ/mol of formula units


No. 6
A plane-wave DFT calculation with PBE was carried out for a relaxed structure of In2Tc.

Cell and atoms, written as extended XYZ:
```
6
Lattice="0.080 -13.028 -0.683 -0.773 -12.524 3.569 -1.794 12.785 -1.874" Properties=species:S:1:pos:R:3 pbc="T T T"
Tc -1.030 -6.509 -0.557
Tc 0.000 0.000 0.000
In -1.407 -4.435 1.364
In -0.396 -14.599 1.649
In -0.297 -10.953 1.237
In -1.506 -8.080 1.775
```

Values from the calculation:
total magnetization	0.001	μB per formula unit
energy above the lowest structure with this stoichiometry	0.107	eV/atom
final energy	-4.9585	eV/atom
DFT formation energy	93	kJ/mol of formula units


No. 7
A plane-wave DFT calculation with PBE was carried out for a relaxed structure of InTc3.

Cell and atoms, written as extended XYZ:
```
4
Lattice="5.240 -0.001 -0.003 -2.373 4.671 -0.003 -2.373 -3.867 2.620" Properties=species:S:1:pos:R:3 pbc="T T T"
Tc -2.373 0.402 1.308
Tc 1.433 -1.934 1.308
Tc 1.433 2.335 -0.003
In 0.000 0.000 0.000
```

Values from the calculation:
total magnetization	0.004	μB per formula unit
final energy	-8.0142	eV/atom
DFT formation energy	172	kJ/mol of formula units


No. 8
A plane-wave DFT calculation with PBE was carried out for a relaxed structure of In3Tc.

Cell and atoms, written as extended XYZ:
```
4
Lattice="5.599 0.002 0.005 -2.493 5.013 0.005 -2.493 -4.026 2.988" Properties=species:S:1:pos:R:3 pbc="T T T"
In 0.000 0.000 0.000
In 1.553 2.508 0.005
In 1.553 -2.012 1.496
Tc -2.493 0.494 1.496
```

Values from the calculation:
total magnetization	1.142	μB per formula unit
final energy	-4.2012	eV/atom
DFT formation energy	171	kJ/mol of formula units


No. 9
A plane-wave DFT calculation with PBE was carried out for a relaxed structure of InTc4.

Cell and atoms, written as extended XYZ:
```
5
Lattice="2.436 0.569 -4.383 2.859 -2.684 3.178 -4.356 -2.421 -0.799" Properties=species:S:1:pos:R:3 pbc="T T T"
In 0.000 0.000 0.000
Tc 0.469 -2.268 -1.002
Tc -2.178 -1.210 -0.399
Tc 1.218 0.285 -2.192
Tc 1.429 -1.342 1.589
```

Values from the calculation:
total magnetization	0.003	μB per formula unit
energy above the lowest structure with this stoichiometry	0.000	eV/atom
final energy	-6.8270	eV/atom
DFT formation energy	971	kJ/mol of formula units


No. 10
A plane-wave DFT calculation with PBE was carried out for a relaxed structure of InTc3.

Cell and atoms, written as extended XYZ:
```
4
Lattice="-0.147 2.236 -3.312 -2.640 -2.542 -1.599 -3.000 2.128 1.570" Properties=species:S:1:pos:R:3 pbc="T T T"
Tc -2.820 -0.207 -0.015
Tc -1.574 2.182 -0.871
Tc -1.394 -0.153 -2.456
In 0.000 0.000 0.000
```

Values from the calculation:
total magnetization	1.877	μB per formula unit
final energy	-8.0132	eV/atom
DFT formation energy	172	kJ/mol of formula units


No. 11
A plane-wave DFT calculation with PBE was carried out for a relaxed structure of InTc4.

Cell and atoms, written as extended XYZ:
```
5
Lattice="4.778 0.000 0.000 0.000 4.778 0.000 0.000 0.000 4.778" Properties=species:S:1:pos:R:3 pbc="T T T"
Tc 2.389 0.000 2.389
Tc 0.000 0.000 0.000
Tc 0.000 2.389 2.389
Tc 2.389 2.389 0.000
In 2.389 2.389 2.389
```

Values from the calculation:
total magnetization	0.487	μB per formula unit
energy above the lowest structure with this stoichiometry	0.626	eV/atom
final energy	-6.2013	eV/atom
DFT formation energy	1273	kJ/mol of formula units


No. 12
A plane-wave DFT calculation with PBE was carried out for a relaxed structure of In3Tc.

Cell and atoms, written as extended XYZ:
```
4
Lattice="5.371 0.002 0.000 2.034 4.971 0.000 -3.703 -2.487 2.993" Properties=species:S:1:pos:R:3 pbc="T T T"
Tc 0.000 0.000 0.000
In 3.703 2.487 0.000
In 2.685 0.001 1.496
In 1.017 2.485 1.496
```

Values from the calculation:
total magnetization	0.466	μB per formula unit
final energy	-4.3334	eV/atom
DFT formation energy	120	kJ/mol of formula units


DFT formation energy of number 9 (InTc4)? 971 kJ/mol of formula units


Among the records above, which one has the highest DFT formation energy? number 11


What is the total magnetization in the seventh record? 0.004 μB per formula unit


What is the total magnetization in the sixth record? 0.001 μB per formula unit